# 1
DFT (GGA-PBE) results for crystalline Ac2NdGa3Pd4 at its relaxed geometry. Values from VASP.

```
&SYSTEM
  ibrav = 0, nat = 10, ntyp = 4
/
ATOMIC_SPECIES
Ac 227.00 Ac.upf
Nd 144.24 Nd.upf
Ga 69.72 Ga.upf
Pd 106.42 Pd.upf
ATOMIC_POSITIONS crystal
Ac 0.000 0.500 0.227
Ac 0.500 0.000 0.773
Nd 0.000 0.000 0.500
Ga 0.000 0.500 0.889
Ga 0.500 0.000 0.111
Ga 0.500 0.500 0.500
Pd 0.000 0.000 0.000
Pd 0.000 0.500 0.662
Pd 0.500 0.000 0.338
Pd 0.500 0.500 0.000
CELL_PARAMETERS angstrom
4.494 0.000 0.000
0.000 4.494 0.000
0.000 0.000 11.267
```

Properties
Space-group type: P-4m2 (115)
Energy in eV per atom: -5.0642
Energy of formation from the pure elements in eV/atom: -0.78
V in Å³/f.u.: 227.5

=====

# 2
DFT (GGA-PBE) results for crystalline Ac2NdGa2Pd7 at its relaxed geometry. Values from VASP.

```
&SYSTEM
  ibrav = 0, nat = 12, ntyp = 4
/
ATOMIC_SPECIES
Ac 227.00 Ac.upf
Nd 144.24 Nd.upf
Ga 69.72 Ga.upf
Pd 106.42 Pd.upf
ATOMIC_POSITIONS crystal
Ac 0.102 0.102 0.356
Ac 0.898 0.898 0.644
Nd 0.000 0.000 0.000
Ga 0.424 0.424 0.755
Ga 0.576 0.576 0.245
Pd 0.047 0.547 0.150
Pd 0.382 0.382 0.575
Pd 0.453 0.953 0.850
Pd 0.500 0.500 0.000
Pd 0.547 0.047 0.150
Pd 0.618 0.618 0.425
Pd 0.953 0.453 0.850
CELL_PARAMETERS angstrom
3.021 -2.990 0.000
3.021 2.990 0.000
-1.929 0.000 14.126
```

Properties
Space-group type: C2/m (12)
Energy in eV per atom: -5.4103
Energy of formation from the pure elements in eV/atom: -0.79
V in Å³/f.u.: 255.2

=====

# 3
DFT (GGA-PBE) results for crystalline AcNdGaPd at its relaxed geometry. Values from VASP.

```
&SYSTEM
  ibrav = 0, nat = 4, ntyp = 4
/
ATOMIC_SPECIES
Ac 227.00 Ac.upf
Nd 144.24 Nd.upf
Ga 69.72 Ga.upf
Pd 106.42 Pd.upf
ATOMIC_POSITIONS crystal
Ac 0.000 0.000 0.000
Nd 0.500 0.500 0.500
Ga 0.250 0.250 0.250
Pd 0.750 0.750 0.750
CELL_PARAMETERS angstrom
0.000 3.778 3.778
3.778 0.000 3.778
3.778 3.778 0.000
```

Properties
Space-group type: F-43m (216)
Energy in eV per atom: -4.8189
Excess energy over the best structure of this formula in the dataset in meV/atom: 84
Energy of formation from the pure elements in eV/atom: -0.54
V in Å³/f.u.: 107.8

=====

# 4
DFT (GGA-PBE) results for crystalline Ac2NdGa4Pd3 at its relaxed geometry. Values from VASP.

```
&SYSTEM
  ibrav = 0, nat = 10, ntyp = 4
/
ATOMIC_SPECIES
Ac 227.00 Ac.upf
Nd 144.24 Nd.upf
Ga 69.72 Ga.upf
Pd 106.42 Pd.upf
ATOMIC_POSITIONS crystal
Ac 0.000 0.500 0.225
Ac 0.500 0.000 0.775
Nd 0.000 0.000 0.500
Ga 0.000 0.000 0.000
Ga 0.000 0.500 0.669
Ga 0.500 0.000 0.331
Ga 0.500 0.500 0.000
Pd 0.000 0.500 0.885
Pd 0.500 0.000 0.115
Pd 0.500 0.500 0.500
CELL_PARAMETERS angstrom
4.429 0.000 0.000
0.000 4.429 0.000
0.000 0.000 11.813
```

Properties
Space-group type: P-4m2 (115)
Energy in eV per atom: -4.7526
Energy of formation from the pure elements in eV/atom: -0.69
V in Å³/f.u.: 231.7

=====

# 5
DFT (GGA-PBE) results for crystalline AcNdGa2Pd5 at its relaxed geometry. Values from VASP.

```
&SYSTEM
  ibrav = 0, nat = 9, ntyp = 4
/
ATOMIC_SPECIES
Ac 227.00 Ac.upf
Nd 144.24 Nd.upf
Ga 69.72 Ga.upf
Pd 106.42 Pd.upf
ATOMIC_POSITIONS crystal
Ac 0.000 0.000 0.000
Nd 0.000 0.000 0.500
Ga 0.500 0.500 0.362
Ga 0.500 0.500 0.638
Pd 0.000 0.500 0.232
Pd 0.000 0.500 0.768
Pd 0.500 0.000 0.232
Pd 0.500 0.000 0.768
Pd 0.500 0.500 0.000
CELL_PARAMETERS angstrom
4.392 0.000 0.000
0.000 4.392 0.000
0.000 0.000 9.271
```

Properties
Space-group type: P4/mmm (123)
Energy in eV per atom: -5.3069
Energy of formation from the pure elements in eV/atom: -0.76
V in Å³/f.u.: 178.9

=====

# 6
DFT (GGA-PBE) results for crystalline AcPmNdGa at its relaxed geometry. Values from VASP.

```
&SYSTEM
  ibrav = 0, nat = 4, ntyp = 4
/
ATOMIC_SPECIES
Ac 227.00 Ac.upf
Pm 145.00 Pm.upf
Nd 144.24 Nd.upf
Ga 69.72 Ga.upf
ATOMIC_POSITIONS crystal
Ac 0.000 0.000 0.000
Pm 0.750 0.750 0.750
Nd 0.250 0.250 0.250
Ga 0.500 0.500 0.500
CELL_PARAMETERS angstrom
0.000 3.953 3.953
3.953 0.000 3.953
3.953 3.953 0.000
```

Properties
Space-group type: F-43m (216)
Energy in eV per atom: -4.1586
Energy of formation from the pure elements in eV/atom: 0.00
V in Å³/f.u.: 123.6

=====

# 7
DFT (GGA-PBE) results for crystalline Ac2NdGa4Pt3 at its relaxed geometry. Values from VASP.

```
&SYSTEM
  ibrav = 0, nat = 10, ntyp = 4
/
ATOMIC_SPECIES
Ac 227.00 Ac.upf
Nd 144.24 Nd.upf
Ga 69.72 Ga.upf
Pt 195.08 Pt.upf
ATOMIC_POSITIONS crystal
Ac 0.000 0.500 0.225
Ac 0.500 0.000 0.775
Nd 0.000 0.000 0.500
Ga 0.000 0.000 0.000
Ga 0.000 0.500 0.668
Ga 0.500 0.000 0.332
Ga 0.500 0.500 0.000
Pt 0.000 0.500 0.883
Pt 0.500 0.000 0.117
Pt 0.500 0.500 0.500
CELL_PARAMETERS angstrom
4.419 0.000 0.000
0.000 4.419 0.000
0.000 0.000 11.740
```

Properties
Space-group type: P-4m2 (115)
Energy in eV per atom: -5.1612
Energy of formation from the pure elements in eV/atom: -0.84
V in Å³/f.u.: 229.3

=====

# 8
DFT (GGA-PBE) results for crystalline AcNdGaPt at its relaxed geometry. Values from VASP.

```
&SYSTEM
  ibrav = 0, nat = 4, ntyp = 4
/
ATOMIC_SPECIES
Ac 227.00 Ac.upf
Nd 144.24 Nd.upf
Ga 69.72 Ga.upf
Pt 195.08 Pt.upf
ATOMIC_POSITIONS crystal
Ac 0.000 0.000 0.000
Nd 0.500 0.714 0.714
Ga 0.500 0.415 0.415
Pt 0.000 0.284 0.284
CELL_PARAMETERS angstrom
4.554 0.000 0.000
0.000 2.239 5.377
0.000 -2.239 5.377
```

Properties
Space-group type: Amm2 (38)
Energy in eV per atom: -5.2816
Excess energy over the best structure of this formula in the dataset in meV/atom: 0
Energy of formation from the pure elements in eV/atom: -0.80
V in Å³/f.u.: 109.7